Computed, not measured: an optimized crystal structure of MnSi3W at the PBE level of DFT.

As for the density of states at the Fermi level: 14.9 states/eV/f.u. The calculation puts the formation energy from raw total energies at 1.41 eV per atom.

The structure belongs to space group Pm-3m (No. 221); the cell edges are 4.710, 4.710 and 4.710 Å and the angles 90.00°, 90.00° and 90.00°. The inequivalent atoms are Mn at (0.000, 0.000, 0.000), Si at (0.000, 0.500, 0.500) and W at (0.500, 0.500, 0.500).

***

Computed, not measured: an optimized crystal structure of MnSiW3 at the PBE level of DFT.

As for the density of states at the Fermi level: 8.4 states/eV/f.u. The calculation puts the formation energy from raw total energies at 1.61 eV per atom.

The structure belongs to space group Pm-3m (No. 221); the cell edges are 4.435, 4.435 and 4.435 Å and the angles 90.00°, 90.00° and 90.00°. The inequivalent atoms are Mn at (0.000, 0.000, 0.000), Si at (0.500, 0.500, 0.500) and W at (0.000, 0.500, 0.500).

***

Computed, not measured: an optimized crystal structure of MnSi2W at the PBE level of DFT.

As for the density of states at the Fermi level: 2.8 states/eV/f.u. The calculation puts the formation energy from raw total energies at -0.01 eV per atom.

The structure belongs to space group C2/m (No. 12); the cell edges are 8.201, 2.687 and 4.960 Å and the angles 90.00°, 102.15° and 90.00°. The inequivalent atoms are Mn at (0.000, 0.000, 0.000), Si at (0.242, 0.500, 0.226) and W at (0.000, 0.500, 0.500).